ZrCoIr (PBE, relaxed); calculated formation energy = -360 meV/atom
1.0
4.104 0.000 0.000
-2.052 3.554 0.000
0.000 0.000 3.385
Zr Co Ir
1 1 1
Direct
0.000 0.000 0.000 Zr
0.667 0.333 0.500 Co
0.333 0.667 0.500 Ir